(1)
# La2TlCl

A geometry-optimized La2TlCl structure (PBEsol, Alexandria via LeMat-Bulk).

Output
Energy relative to the elements, uncorrected   -0.9839 eV per atom
V   118.7 Å³ per cell
E above lowest polymorph   10 meV/atom
Theoretical density   7.24 g/cm3

a = 4.379 Å, b = 4.379 Å, c = 6.192 Å
α = 90.00°, β = 90.00°, γ = 90.00°
Space group P4/mmm (No. 123)
One atom of each set of equivalent atoms:
La 0.000 0.000 0.000 [1 per cell]
La 0.500 0.500 0.500 [1 per cell]
Tl 0.000 0.000 0.500 [1 per cell]
Cl 0.500 0.500 0.000 [1 per cell]

---

(2)
# Ca3Ge3Mo2O12

A geometry-optimized Ca3Ge3Mo2O12 structure (PBEsol, Alexandria via LeMat-Bulk).

Output
Energy relative to the elements, uncorrected   -2.1320 eV per atom
V   1948.3 Å³ per cell
Theoretical density   4.92 g/cm3

a = 12.490 Å, b = 12.490 Å, c = 12.490 Å
α = 90.00°, β = 90.00°, γ = 90.00°
Space group Ia-3d (No. 230)
One atom of each set of equivalent atoms:
Ca 0.000 0.250 0.125 [24 per cell]
Ge 0.000 0.250 0.375 [24 per cell]
Mo 0.000 0.000 0.000 [16 per cell]
O 0.034 0.054 0.655 [96 per cell]

---

(3)
# ScCuBr

A geometry-optimized ScCuBr structure (PBEsol, Alexandria via LeMat-Bulk).

Output
Energy relative to the elements, uncorrected   0.0952 eV per atom
V   252.5 Å³ per cell
Theoretical density   4.96 g/cm3

a = 6.321 Å, b = 6.321 Å, c = 6.321 Å
α = 90.00°, β = 90.00°, γ = 90.00°
Space group F-43m (No. 216)
One atom of each set of equivalent atoms:
Sc 0.000 0.000 0.000 [4 per cell]
Cu 0.250 0.250 0.250 [4 per cell]
Br 0.000 0.000 0.500 [4 per cell]

---

(4)
# Fe3PdN

A geometry-optimized Fe3PdN structure (PBEsol, Alexandria via LeMat-Bulk).

Output
Energy relative to the elements, uncorrected   -0.1826 eV per atom
V   54.7 Å³ per cell
Theoretical density   8.75 g/cm3

a = 3.795 Å, b = 3.795 Å, c = 3.795 Å
α = 90.00°, β = 90.00°, γ = 90.00°
Space group Pm-3m (No. 221)
One atom of each set of equivalent atoms:
Fe 0.000 0.000 0.500 [3 per cell]
Pd 0.500 0.500 0.500 [1 per cell]
N 0.000 0.000 0.000 [1 per cell]

---

(5)
# LaNiI2O

A geometry-optimized LaNiI2O structure (PBEsol, Alexandria via LeMat-Bulk).

Output
Energy relative to the elements, uncorrected   -0.7721 eV per atom
V   113.0 Å³ per cell
Theoretical density   6.87 g/cm3

a = 5.559 Å, b = 5.559 Å, c = 3.656 Å
α = 90.00°, β = 90.00°, γ = 90.00°
Space group P4/mmm (No. 123)
One atom of each set of equivalent atoms:
La 0.000 0.000 0.000 [1 per cell]
Ni 0.500 0.500 0.500 [1 per cell]
I 0.000 0.500 0.500 [2 per cell]
O 0.500 0.500 0.000 [1 per cell]

---

(6)
# YCd5

A geometry-optimized YCd5 structure (PBEsol, Alexandria via LeMat-Bulk).

Output
V   131.1 Å³ per cell
ΔE_f   -0.139 eV/atom
Theoretical density   8.25 g/cm3

a = 3.444 Å, b = 3.444 Å, c = 11.052 Å
α = 90.00°, β = 90.00°, γ = 90.00°
Space group P4/mmm (No. 123)
One atom of each set of equivalent atoms:
Y 0.000 0.000 0.000 [1 per cell]
Cd 0.000 0.000 0.339 [2 per cell]
Cd 0.500 0.500 0.185 [2 per cell]
Cd 0.500 0.500 0.500 [1 per cell]

---

(7)
# LaTlOs2

A geometry-optimized LaTlOs2 structure (PBEsol, Alexandria via LeMat-Bulk).

Output
V   80.6 Å³ per cell
ΔE_f   0.728 eV/atom
E above lowest polymorph   0 meV/atom
Theoretical density   14.91 g/cm3

a = 3.013 Å, b = 4.231 Å, c = 6.323 Å
α = 90.00°, β = 90.00°, γ = 90.00°
Space group Pmmm (No. 47)
One atom of each set of equivalent atoms:
La 0.000 0.000 0.000 [1 per cell]
Tl 0.000 0.000 0.500 [1 per cell]
Os 0.500 0.500 0.304 [2 per cell]

---

(8)
# LiScAg2

A geometry-optimized LiScAg2 structure (PBEsol, Alexandria via LeMat-Bulk).

Output
V   137.2 Å³ per cell
ΔE_f   -0.195 eV/atom
Theoretical density   6.48 g/cm3

a = 4.069 Å, b = 4.069 Å, c = 8.284 Å
α = 90.00°, β = 90.00°, γ = 90.00°
Space group I-4m2 (No. 119)
One atom of each set of equivalent atoms:
Li 0.000 0.000 0.000 [2 per cell]
Sc 0.000 0.500 0.250 [2 per cell]
Ag 0.000 0.000 0.500 [2 per cell]
Ag 0.000 0.500 0.750 [2 per cell]

---

(9)
# K4Bi2O5

A geometry-optimized K4Bi2O5 structure (PBEsol, Alexandria via LeMat-Bulk).

Output
Energy relative to the elements, uncorrected   -1.3794 eV per atom
V   449.8 Å³ per cell
Theoretical density   4.83 g/cm3

a = 5.636 Å, b = 9.549 Å, c = 9.785 Å
α = 106.88°, β = 104.96°, γ = 106.17°
Space group P-1 (No. 2)
One atom of each set of equivalent atoms:
K 0.101 0.009 0.184 [2 per cell]
K 0.111 0.702 0.544 [2 per cell]
K 0.130 0.378 0.868 [2 per cell]
K 0.376 0.785 0.951 [2 per cell]
Bi 0.362 0.459 0.273 [2 per cell]
Bi 0.395 0.116 0.625 [2 per cell]
O 0.149 0.248 0.081 [2 per cell]
O 0.239 0.886 0.393 [2 per cell]
O 0.262 0.539 0.699 [2 per cell]
O 0.370 0.993 0.766 [2 per cell]
O 0.380 0.629 0.167 [2 per cell]

---

(10)
# CdRe2C

A geometry-optimized CdRe2C structure (PBEsol, Alexandria via LeMat-Bulk).

Output
V   215.0 Å³ per cell
ΔE_f   1.904 eV/atom
Theoretical density   15.35 g/cm3

a = 5.990 Å, b = 5.990 Å, c = 5.990 Å
α = 90.00°, β = 90.00°, γ = 90.00°
Space group Fm-3m (No. 225)
One atom of each set of equivalent atoms:
Cd 0.000 0.000 0.000 [4 per cell]
Re 0.250 0.250 0.250 [8 per cell]
C 0.000 0.000 0.500 [4 per cell]

---

(11)
# CoPbS2

A geometry-optimized CoPbS2 structure (PBEsol, Alexandria via LeMat-Bulk).

Output
Energy relative to the elements, uncorrected   0.2019 eV per atom
V   317.6 Å³ per cell
Theoretical density   5.18 g/cm3

a = 4.1047 Å, b = 4.1047 Å, c = 21.7680 Å
α = 90.00°, β = 90.00°, γ = 120.00°
Space group R-3m (No. 166, hexagonal axes)
One atom of each set of equivalent atoms:
Co 0.0000 0.0000 0.0000 [3 per cell]
Pb 0.0000 0.0000 0.5000 [3 per cell]
S 0.0000 0.0000 0.0955 [6 per cell]

---

(12)
# LaCu3Pt

A geometry-optimized LaCu3Pt structure (PBEsol, Alexandria via LeMat-Bulk).

Output
V   110.4 Å³ per cell
ΔE_f   1.731 eV/atom
Theoretical density   7.89 g/cm3

a = 4.797 Å, b = 4.797 Å, c = 4.797 Å
α = 90.00°, β = 90.00°, γ = 90.00°
Space group Pm-3m (No. 221)
One atom of each set of equivalent atoms:
La 0.000 0.000 0.000 [1 per cell]
Cu 0.000 0.000 0.500 [3 per cell]
Pt 0.500 0.500 0.500 [1 per cell]

---

(13)
# SrTl2In

A geometry-optimized SrTl2In structure (PBEsol, Alexandria via LeMat-Bulk).

Output
V   235.0 Å³ per cell
ΔE_f   -0.260 eV/atom
Theoretical density   8.64 g/cm3

a = 10.125 Å, b = 3.904 Å, c = 6.108 Å
α = 90.00°, β = 103.21°, γ = 90.00°
Space group C2/m (No. 12)
One atom of each set of equivalent atoms:
Sr 0.000 0.000 0.000 [2 per cell]
Tl 0.242 0.000 0.718 [4 per cell]
In 0.000 0.500 0.500 [2 per cell]

---

(14)
# KAlPbO2

A geometry-optimized KAlPbO2 structure (PBEsol, Alexandria via LeMat-Bulk).

Output
Energy relative to the elements, uncorrected   0.8172 eV per atom
V   119.2 Å³ per cell
Theoretical density   4.25 g/cm3

a = 4.553 Å, b = 4.553 Å, c = 5.750 Å
α = 90.00°, β = 90.00°, γ = 90.00°
Space group P4/mmm (No. 123)
One atom of each set of equivalent atoms:
K 0.000 0.000 0.000 [1 per cell]
Al 0.500 0.500 0.500 [1 per cell]
Pb 0.000 0.000 0.500 [1 per cell]
O 0.000 0.500 0.000 [2 per cell]

---

(15)
# CuAsPt

A geometry-optimized CuAsPt structure (PBEsol, Alexandria via LeMat-Bulk).

Output
V   44.4 Å³ per cell
ΔE_f   -0.038 eV/atom
E above lowest polymorph   53 meV/atom
Theoretical density   12.49 g/cm3

a = 4.2921 Å, b = 4.2921 Å, c = 2.7806 Å
α = 90.00°, β = 90.00°, γ = 120.00°
Space group P-6m2 (No. 187)
One atom of each set of equivalent atoms:
Cu 0.0000 0.0000 0.0000 [1 per cell]
As 0.6667 0.3333 0.5000 [1 per cell]
Pt 0.3333 0.6667 0.5000 [1 per cell]

---

(16)
# LaTlNi

A geometry-optimized LaTlNi structure (PBEsol, Alexandria via LeMat-Bulk).

Output
V   288.5 Å³ per cell
ΔE_f   -0.245 eV/atom
Theoretical density   9.25 g/cm3

a = 6.608 Å, b = 6.608 Å, c = 6.608 Å
α = 90.00°, β = 90.00°, γ = 90.00°
Space group F-43m (No. 216)
One atom of each set of equivalent atoms:
La 0.000 0.000 0.000 [4 per cell]
Tl 0.000 0.000 0.500 [4 per cell]
Ni 0.250 0.250 0.250 [4 per cell]

---

(17)
# Li6V3P8O29

A geometry-optimized Li6V3P8O29 structure (PBEsol, Alexandria via LeMat-Bulk).

Output
Energy relative to the elements, uncorrected   -2.2888 eV per atom
V   1116.5 Å³ per cell
E above lowest polymorph   0 meV/atom
Theoretical density   2.70 g/cm3

a = 9.6803 Å, b = 9.6803 Å, c = 13.7575 Å
α = 90.00°, β = 90.00°, γ = 120.00°
Space group P-3c1 (No. 165)
One atom of each set of equivalent atoms:
Li 0.0939 0.3241 0.4397 [12 per cell]
V 0.0000 0.4311 0.2500 [6 per cell]
P 0.0873 0.3198 0.6574 [12 per cell]
P 0.3333 0.6667 0.3706 [4 per cell]
O 0.0000 0.2089 0.7500 [6 per cell]
O 0.0044 0.2454 0.9334 [12 per cell]
O 0.0810 0.3336 0.1576 [12 per cell]
O 0.0991 0.4815 0.6760 [12 per cell]
O 0.1864 0.5104 0.3292 [12 per cell]
O 0.3333 0.6667 0.4788 [4 per cell]

---

(18)
# Rb3InF6

A geometry-optimized Rb3InF6 structure (PBEsol, Alexandria via LeMat-Bulk).

Output
Energy relative to the elements, uncorrected   -2.7014 eV per atom
V   810.1 Å³ per cell
Theoretical density   3.98 g/cm3

a = 9.322 Å, b = 9.322 Å, c = 9.322 Å
α = 90.00°, β = 90.00°, γ = 90.00°
Space group Fm-3m (No. 225)
One atom of each set of equivalent atoms:
Rb 0.000 0.000 0.000 [4 per cell]
Rb 0.250 0.250 0.250 [8 per cell]
In 0.000 0.000 0.500 [4 per cell]
F 0.000 0.000 0.277 [24 per cell]